[1]
{
  "formula": "CdCo2Rh",
  "functional": "GGA-PBE",
  "state": "relaxed",
  "mass_density_g_cm3": 9.69,
  "e_tot_ev_per_cell": -21.650,
  "n_ef_per_ev_atom": 1.57,
  "space_group": "No. 47",
  "volume_a3_per_cell": 57.1,
  "cell": [[3.736, 0.000, 0.000], [0.000, 2.739, 0.006], [0.000, 2.722, 5.585]],
  "species": ["Cd", "Co", "Co", "Rh"],
  "fractional_positions": [[0.500, 0.750, 0.750], [0.000, 0.964, 0.036], [0.000, 0.536, 0.464], [0.500, 0.250, 0.250]]
}

***

[2]
{
  "formula": "NdHoAg4",
  "functional": "GGA-PBE",
  "state": "relaxed",
  "mass_density_g_cm3": 9.17,
  "n_ef_per_ev_atom": 0.74,
  "space_group": "No. 216",
  "volume_a3_per_cell": 134.1,
  "de_polymorph_mev_per_atom": 117,
  "cell": [[-0.326, -4.419, -3.656], [-2.148, -5.030, 1.758], [-5.117, -1.767, -1.922]],
  "species": ["Nd", "Ag", "Ag", "Ag", "Ag", "Ho"],
  "fractional_positions": [[0.000, 0.000, 0.000], [0.625, 0.625, 0.126], [0.625, 0.126, 0.625], [0.126, 0.625, 0.625], [0.625, 0.625, 0.625], [0.250, 0.250, 0.250]]
}

***

[3]
{
  "formula": "PaSi2Pd",
  "functional": "GGA-PBE",
  "state": "relaxed",
  "mass_density_g_cm3": 9.54,
  "e_form_raw_mev_per_atom": -294,
  "n_ef_per_ev_atom": 1.05,
  "space_group": "No. 123",
  "volume_a3_per_cell": 68.5,
  "cell": [[-2.317, 1.198, -1.671], [-1.821, -2.365, 0.829], [-2.200, 3.692, 5.697]],
  "species": ["Si", "Si", "Pa", "Pd"],
  "fractional_positions": [[0.000, 0.000, 0.711], [0.000, 0.000, 0.289], [0.500, 0.500, 0.000], [0.500, 0.500, 0.500]]
}

***

[4]
{
  "formula": "CoPbSeN2",
  "functional": "GGA-PBE",
  "state": "relaxed",
  "mass_density_g_cm3": 8.05,
  "e_form_raw_mev_per_atom": 972,
  "n_ef_per_ev_atom": 0.59,
  "space_group": "No. 123",
  "volume_a3_per_cell": 76.9,
  "de_polymorph_mev_per_atom": 0,
  "cell": [[-3.624, 0.742, 1.284], [-1.343, -3.080, -2.011], [0.806, -2.949, 3.979]],
  "species": ["N", "N", "Pb", "Co", "Se"],
  "fractional_positions": [[0.500, 0.000, 0.000], [0.000, 0.500, 0.000], [0.500, 0.500, 0.500], [0.000, 0.000, 0.000], [0.000, 0.000, 0.500]]
}